# Sm3Mg GGA-PBEsol relaxed
data_Sm3Mg
_cell_length_a 4.8765
_cell_length_b 4.8765
_cell_length_c 9.7926
_cell_angle_alpha 90.00
_cell_angle_beta 90.00
_cell_angle_gamma 90.00
_space_group_name_H-M_alt 'I 4/m m m'
_space_group_IT_number 139
_space_group_name_Hall '-I 4 2'
loop_
_atom_site_label
_atom_site_type_symbol
_atom_site_fract_x
_atom_site_fract_y
_atom_site_fract_z
Sm1 Sm 0.0000 0.0000 0.0000
Sm2 Sm 0.0000 0.5000 0.2500
Mg1 Mg 0.0000 0.0000 0.5000
# Formation enthalpy at 0 K   -0.004 eV per atom
# Total DFT energy (no corrections)   -34.019 eV for the cell shown

=====

# CdP2S2 GGA-PBEsol relaxed
data_CdP2S2
_cell_length_a 4.9190
_cell_length_b 4.9190
_cell_length_c 4.6939
_cell_angle_alpha 90.00
_cell_angle_beta 90.00
_cell_angle_gamma 90.00
_space_group_name_H-M_alt 'P 4/m m m'
_space_group_IT_number 123
_space_group_name_Hall '-P 4 2'
loop_
_atom_site_label
_atom_site_type_symbol
_atom_site_fract_x
_atom_site_fract_y
_atom_site_fract_z
Cd1 Cd 0.0000 0.0000 0.0000
P1 P 0.0000 0.5000 0.0000
S1 S 0.0000 0.0000 0.5000
S2 S 0.5000 0.5000 0.5000
# Total DFT energy (no corrections)   -14.372 eV for the cell shown
# Uncorrected formation energy   1.435 eV/atom